Entry from Alexandria: crystalline Mn3SbI at its relaxed geometry (PBE).

The structure belongs to space group Pm-3m (No. 221); the cell edges are 5.2046, 5.2046 and 5.2046 Å and the angles 90.00°, 90.00° and 90.00°. The distinct sites, in fractional coordinates, are Mn at (0.0000, 0.0000, 0.5000), Sb at (0.0000, 0.0000, 0.0000) and I at (0.5000, 0.5000, 0.5000).

The crystal system is cubic. As for the energy relative to the elements, uncorrected: 0.781 eV per atom.